[1]
A plane-wave DFT calculation with PBE-GGA was carried out for a relaxed structure of AcLaAu4.

symmetry = Immm (71)
energy above the most stable polymorph in this dataset = 3 kJ/mol of formula units
VASP energy = -4.510 eV per atom
crystal system = orthorhombic

Unit cell a=4.840 b=6.149 c=6.149 alpha=85.05 beta=66.86 gamma=66.86
Atoms (fractional coordinates):
Ac: 0.500 0.500 0.500
La: 0.000 0.000 0.000
Au: 0.743 0.590 0.924
Au: 0.743 0.924 0.590
Au: 0.257 0.410 0.076
Au: 0.257 0.076 0.410



[2]
A plane-wave DFT calculation with PBE-GGA was carried out for a relaxed structure of Pm4AlIn.

symmetry = R-3m (166)
energy above the most stable polymorph in this dataset = 0 kJ/mol of formula units
VASP energy = -4.313 eV per atom
crystal system = trigonal

Unit cell a=5.219 b=5.219 c=9.088 alpha=73.36 beta=73.31 gamma=60.00
Atoms (fractional coordinates):
Pm: 0.629 0.629 0.114
Pm: 0.371 0.371 0.886
Pm: 0.121 0.121 0.637
Pm: 0.879 0.879 0.363
Al: 0.000 0.000 0.000
In: 0.500 0.500 0.500



[3]
A plane-wave DFT calculation with PBE-GGA was carried out for a relaxed structure of Tb2MgZn16.

symmetry = R3m (160)
VASP energy = -1.884 eV per atom
crystal system = trigonal

Unit cell a=6.829 b=6.829 c=6.829 alpha=82.67 beta=82.67 gamma=82.67
Atoms (fractional coordinates):
Tb: 0.660 0.660 0.660
Tb: 0.338 0.338 0.338
Mg: 0.906 0.906 0.906
Zn: 0.701 0.000 0.297
Zn: 0.000 0.297 0.701
Zn: 0.297 0.701 0.000
Zn: 0.000 0.701 0.297
Zn: 0.701 0.297 0.000
Zn: 0.297 0.000 0.701
Zn: 0.353 0.835 0.353
Zn: 0.835 0.353 0.353
Zn: 0.353 0.353 0.835
Zn: 0.646 0.159 0.646
Zn: 0.159 0.646 0.646
Zn: 0.646 0.646 0.159
Zn: 0.000 0.496 0.000
Zn: 0.496 0.000 0.000
Zn: 0.000 0.000 0.496
Zn: 0.110 0.110 0.110



[4]
A plane-wave DFT calculation with PBE-GGA was carried out for a relaxed structure of MgCdSn.

symmetry = P3m1 (156)
VASP energy = -2.169 eV per atom
crystal system = trigonal

Unit cell a=3.592 b=4.869 c=4.869 alpha=120.00 beta=90.00 gamma=90.00
Atoms (fractional coordinates):
Mg: 0.647 0.333 0.667
Sn: 0.042 0.000 0.000
Cd: 0.311 0.667 0.333



[5]
A plane-wave DFT calculation with PBE-GGA was carried out for a relaxed structure of TbPr5.

symmetry = Cmmm (65)
VASP energy = -4.741 eV per atom
crystal system = orthorhombic

Unit cell a=5.216 b=5.213 c=8.260 alpha=108.39 beta=90.00 gamma=90.00
Atoms (fractional coordinates):
Pr: 0.000 0.665 0.330
Pr: 0.000 0.335 0.670
Pr: 0.500 0.500 0.000
Pr: 0.500 0.166 0.332
Pr: 0.500 0.834 0.668
Tb: 0.000 0.000 0.000



[6]
A plane-wave DFT calculation with PBE-GGA was carried out for a relaxed structure of SrRuCl2.

symmetry = Pmmm (47)
energy above the most stable polymorph in this dataset = 177 kJ/mol of formula units
raw formation energy = -27.1 kJ/mol of atoms
VASP energy = -3.943 eV per atom
crystal system = orthorhombic

Unit cell a=3.698 b=3.719 c=6.560 alpha=90.00 beta=90.00 gamma=90.00
Site moments in Bohr magnetons follow the coordinates.
Atoms (fractional coordinates):
Ru: 0.500 0.500 0.250  2.04
Cl: 0.000 0.000 0.997  0.04
Cl: 0.000 0.000 0.503  0.04
Sr: 0.500 0.500 0.750  -0.03



[7]
A plane-wave DFT calculation with PBE-GGA was carried out for a relaxed structure of NaTl6Cd2.

symmetry = R3 (146)
energy above the most stable polymorph in this dataset = 82 kJ/mol of formula units
VASP energy = -1.845 eV per atom
crystal system = trigonal

Unit cell a=6.434 b=6.434 c=9.175 alpha=69.47 beta=69.47 gamma=60.00
Atoms (fractional coordinates):
Na: 0.332 0.332 0.003
Tl: 0.778 0.361 0.662
Tl: 0.198 0.778 0.662
Tl: 0.361 0.198 0.662
Tl: 0.137 0.562 0.340
Tl: 0.961 0.137 0.340
Tl: 0.562 0.961 0.340
Cd: 0.725 0.725 0.826
Cd: 0.612 0.612 0.165



[8]
A plane-wave DFT calculation with PBE-GGA was carried out for a relaxed structure of NaSrH4Pd.

symmetry = Cmcm (63)
VASP energy = -3.458 eV per atom
crystal system = orthorhombic

Unit cell a=5.198 b=4.863 c=7.785 alpha=90.00 beta=109.50 gamma=90.00
Atoms (fractional coordinates):
Na: 0.609 0.750 0.219
Na: 0.391 0.250 0.781
Sr: 0.110 0.250 0.221
Sr: 0.890 0.750 0.779
H: 0.944 0.250 0.888
H: 0.401 0.750 0.801
H: 0.056 0.750 0.112
H: 0.599 0.250 0.199
H: 0.500 0.500 0.500
H: 0.000 0.000 0.500
H: 0.500 0.000 0.500
H: 0.000 0.500 0.500
Pd: 0.269 0.750 0.539
Pd: 0.731 0.250 0.461